! LaNd3Dy (GGA-PBE, optimized geometry); values from VASP
! Size of the total moment in μB/f.u.: 0.00
! Calculated volume in Å³ per cell: 384
! Energy above the lowest structure with this stoichiometry in eV/atom: 0.181
! SG: R-3, No. 148
! Calculated formation energy in meV per atom: 358
&SYSTEM
  ibrav = 0, nat = 10, ntyp = 3
/
ATOMIC_SPECIES
Nd 144.24 Nd.upf
Dy 162.50 Dy.upf
La 138.91 La.upf
CELL_PARAMETERS angstrom
6.2484 0.0000 0.0000
3.1242 5.4113 0.0000
3.1242 1.8038 11.3436
ATOMIC_POSITIONS angstrom
Nd 5.2305 1.8190 2.8969
Nd 4.1905 3.5948 8.4468
Nd 7.2664 5.3961 8.4468
Nd 5.2085 5.3834 2.8969
Nd 7.2884 1.8317 8.4468
Nd 8.3064 3.6203 2.8969
Dy 3.1242 1.8038 5.7040
Dy 9.3727 5.4113 5.6396
La 6.2484 3.6075 0.0313
La 6.2484 3.6075 11.3143


! La3Nd2Dy8 (GGA-PBE, optimized geometry); values from VASP
! Size of the total moment in μB/f.u.: 0.00
! Calculated volume in Å³ per cell: 433
! Energy above the lowest structure with this stoichiometry in eV/atom: 0.000
! SG: P-1, No. 2
! Calculated formation energy in meV per atom: 21
&SYSTEM
  ibrav = 0, nat = 13, ntyp = 3
/
ATOMIC_SPECIES
Dy 162.50 Dy.upf
La 138.91 La.upf
Nd 144.24 Nd.upf
CELL_PARAMETERS angstrom
-4.5246 2.6694 -3.3849
-4.5887 -2.3712 6.2008
-1.2477 6.5760 6.8238
ATOMIC_POSITIONS angstrom
Dy -7.4633 6.6716 7.4957
Dy -7.0060 3.2315 2.2986
Dy -4.9488 6.1155 1.7874
Dy -2.8977 0.2026 2.1440
Dy -6.2315 3.8682 9.4231
Dy -4.1295 3.0060 0.2166
Dy -5.4122 0.7588 7.8524
Dy -3.3550 3.6427 7.3412
La 0.0000 0.0000 0.0000
La -5.7994 0.4181 4.2510
La -4.5616 6.4562 5.3887
Nd -6.6479 3.5493 5.8926
Nd -3.7131 3.3249 3.7471


! La4NdDy10 (GGA-PBE, optimized geometry); values from VASP
! Size of the total moment in μB/f.u.: 0.00
! Calculated volume in Å³ per cell: 515
! SG: I4/m, No. 87
! Calculated formation energy in meV per atom: 338
&SYSTEM
  ibrav = 0, nat = 15, ntyp = 3
/
ATOMIC_SPECIES
La 138.91 La.upf
Dy 162.50 Dy.upf
Nd 144.24 Nd.upf
CELL_PARAMETERS angstrom
9.8452 0.0000 4.4455
4.9226 6.9019 2.2228
2.0822 0.0000 8.5131
ATOMIC_POSITIONS angstrom
La 8.7157 1.8666 6.9468
La 4.1544 4.1574 3.9240
La 12.6956 2.7445 11.2574
La 8.1343 5.0353 8.2346
Dy 5.9637 3.4509 6.4793
Dy 5.5638 0.6387 4.9654
Dy 2.4412 0.6387 3.5554
Dy 10.8863 3.4509 8.7021
Dy 5.7064 2.2357 9.4488
Dy 11.1436 4.6661 5.7326
Dy 8.0211 4.6661 4.3226
Dy 14.4088 6.2632 11.6260
Dy 11.2862 6.2632 10.2160
Dy 8.8289 2.2357 10.8588
Nd 0.0000 0.0000 0.0000


! La5NdDy8 (GGA-PBE, optimized geometry); values from VASP
! Size of the total moment in μB/f.u.: 0.00
! Calculated volume in Å³ per cell: 472
! SG: C2/m, No. 12
! Calculated formation energy in meV per atom: 55
&SYSTEM
  ibrav = 0, nat = 14, ntyp = 3
/
ATOMIC_SPECIES
Dy 162.50 Dy.upf
La 138.91 La.upf
Nd 144.24 Nd.upf
CELL_PARAMETERS angstrom
3.5052 0.0000 -0.6855
0.4582 16.8634 2.3427
-0.1657 3.0294 8.4567
ATOMIC_POSITIONS angstrom
Dy 2.3641 13.5873 2.7839
Dy 1.4336 6.3054 7.3302
Dy 0.7215 10.3862 3.6890
Dy 3.4298 14.7619 8.2330
Dy 0.3677 5.1308 1.8804
Dy 1.0790 15.7102 5.5172
Dy 3.0759 9.5053 6.4236
Dy 2.7189 4.1834 4.5981
La 1.2102 12.5961 6.1880
La 0.0002 0.0004 0.0010
La 2.2377 1.8882 2.1379
La 1.5602 18.0062 7.9774
La 2.5872 7.2960 3.9247
Nd 1.8158 11.4602 9.2846


! La7NdDy2 (GGA-PBE, optimized geometry); values from VASP
! Size of the total moment in μB/f.u.: 0.00
! Calculated volume in Å³ per cell: 375
! Energy above the lowest structure with this stoichiometry in eV/atom: 0.000
! SG: Cmmm, No. 65
! Calculated formation energy in meV per atom: 324
&SYSTEM
  ibrav = 0, nat = 10, ntyp = 3
/
ATOMIC_SPECIES
La 138.91 La.upf
Dy 162.50 Dy.upf
Nd 144.24 Nd.upf
CELL_PARAMETERS angstrom
3.5461 0.0000 0.0000
0.0000 10.1996 -2.8277
0.0000 -0.7127 10.5602
ATOMIC_POSITIONS angstrom
La 1.7730 5.6150 7.5091
La 0.0000 2.7845 6.2697
La 1.7730 0.9997 3.7473
La 1.7730 3.8719 0.2235
La 1.7730 4.7435 3.8663
La 0.0000 6.7024 1.4628
La 1.7730 8.4872 3.9852
Dy 1.7730 8.3803 -0.5956
Dy 1.7730 1.1066 8.3282
Nd 0.0000 0.0000 0.0000


! LaNd2Dy4 (GGA-PBE, optimized geometry); values from VASP
! Size of the total moment in μB/f.u.: 0.54
! Calculated volume in Å³ per cell: 500
! Energy above the lowest structure with this stoichiometry in eV/atom: 0.000
! SG: C2/m, No. 12
! Calculated formation energy in meV per atom: 321
&SYSTEM
  ibrav = 0, nat = 14, ntyp = 3
/
ATOMIC_SPECIES
Dy 162.50 Dy.upf
La 138.91 La.upf
Nd 144.24 Nd.upf
CELL_PARAMETERS angstrom
-5.1221 5.5520 3.0445
-2.6429 -5.3010 5.1324
5.4990 2.2190 5.1243
ATOMIC_POSITIONS angstrom
Dy -0.2290 4.3446 7.3015
Dy 2.0258 1.8980 5.9641
Dy 0.7012 -0.7753 8.5648
Dy -2.0370 -1.8746 5.9997
Dy -1.5640 1.6802 9.8667
Dy -2.9672 3.2452 4.7364
Dy -0.7021 0.7897 3.4346
Dy -4.2918 0.5719 7.3371
La -3.8825 0.1255 4.0884
La -1.3214 -2.6505 2.5662
Nd 0.1884 3.8855 4.0844
Nd 1.4280 -1.5410 5.1284
Nd 2.7495 1.1095 2.5622
Nd 0.0000 0.0000 0.0000


! LaNd6Dy3 (GGA-PBE, optimized geometry); values from VASP
! Size of the total moment in μB/f.u.: 0.00
! Calculated volume in Å³ per cell: 694
! Energy above the lowest structure with this stoichiometry in eV/atom: 0.000
! SG: Cmc2_1, No. 36
! Calculated formation energy in meV per atom: 123
&SYSTEM
  ibrav = 0, nat = 20, ntyp = 3
/
ATOMIC_SPECIES
Nd 144.24 Nd.upf
Dy 162.50 Dy.upf
La 138.91 La.upf
CELL_PARAMETERS angstrom
6.5462 0.0000 0.0000
0.0000 10.2868 -5.8593
0.0000 -2.2952 11.6138
ATOMIC_POSITIONS angstrom
Nd 5.4692 5.3427 -1.9199
Nd 5.2900 1.4698 6.3853
Nd 5.0373 -2.1380 11.3956
Nd 3.7912 4.6855 4.9321
Nd 2.1961 2.6489 7.6744
Nd 2.1961 -0.1267 5.6758
Nd 1.7642 10.1296 -5.6410
Nd 0.5181 6.1633 2.8798
Nd 5.4692 8.1183 0.0788
Nd 2.0169 6.5219 -0.6308
Nd 3.7912 1.8283 2.8747
Nd 0.5181 3.3061 0.8224
Dy 6.4467 5.0116 7.0281
Dy 3.1736 2.9800 -1.2735
Dy 3.1736 8.2545 2.5245
Dy 3.9396 5.0215 1.4529
Dy 0.6665 2.9702 4.3016
Dy 6.4467 -0.2629 3.2300
La 0.0461 -0.3597 8.9260
La 3.3192 8.3513 -3.1714


! La2Nd2Dy3 (GGA-PBE, optimized geometry); values from VASP
! Size of the total moment in μB/f.u.: 0.00
! Calculated volume in Å³ per cell: 241
! Energy above the lowest structure with this stoichiometry in eV/atom: 0.106
! SG: C2/m, No. 12
! Calculated formation energy in meV per atom: 127
&SYSTEM
  ibrav = 0, nat = 7, ntyp = 3
/
ATOMIC_SPECIES
La 138.91 La.upf
Dy 162.50 Dy.upf
Nd 144.24 Nd.upf
CELL_PARAMETERS angstrom
3.5255 0.0000 0.0000
0.0000 8.8780 -0.5147
-1.7628 -3.4329 7.8986
ATOMIC_POSITIONS angstrom
La 0.0000 1.2951 1.1580
La 1.7628 4.1500 6.2259
Dy 0.0000 4.4390 -0.2573
Dy 0.0000 4.2040 3.1437
Dy 1.7628 1.2410 4.2402
Nd 1.7628 7.0770 1.7503
Nd 0.0000 -1.6319 5.6336


! La12NdDy7 (GGA-PBE, optimized geometry); values from VASP
! Size of the total moment in μB/f.u.: 0.00
! Calculated volume in Å³ per cell: 700
! Energy above the lowest structure with this stoichiometry in eV/atom: 0.000
! SG: R-3m, No. 166
! Calculated formation energy in meV per atom: 86
&SYSTEM
  ibrav = 0, nat = 20, ntyp = 3
/
ATOMIC_SPECIES
Dy 162.50 Dy.upf
La 138.91 La.upf
Nd 144.24 Nd.upf
CELL_PARAMETERS angstrom
8.9566 0.5193 0.7794
-1.9917 8.7477 0.7794
-1.9917 -2.6500 8.3731
ATOMIC_POSITIONS angstrom
Dy 5.6398 1.0112 8.5544
Dy -0.5969 5.6996 8.5538
Dy -0.6666 5.6059 1.3775
Dy 5.6408 7.5043 4.2279
Dy 5.5702 0.9175 1.3782
Dy -0.6676 -0.8872 5.7040
Dy 2.4866 3.3085 4.9660
La 2.6721 3.5603 8.6423
La 2.3012 3.0568 1.2896
La 5.6009 4.4031 6.6143
La 2.4884 0.3397 6.9435
La 5.3375 4.1357 2.9878
La -0.3643 2.4814 6.9441
La 2.4848 6.2774 2.9884
La 5.3389 1.1662 4.9645
La 2.2964 0.0114 3.3210
La 2.6769 6.6057 6.6109
La -0.6276 2.2140 3.3176
La -0.3656 5.4508 4.9674
Nd 0.0000 0.0000 0.0000


! La6Nd2Dy3 (GGA-PBE, optimized geometry); values from VASP
! Size of the total moment in μB/f.u.: 0.00
! Calculated volume in Å³ per cell: 387
! SG: P-1, No. 2
! Calculated formation energy in meV per atom: 22
&SYSTEM
  ibrav = 0, nat = 11, ntyp = 3
/
ATOMIC_SPECIES
Nd 144.24 Nd.upf
La 138.91 La.upf
Dy 162.50 Dy.upf
CELL_PARAMETERS angstrom
-4.6408 -0.7028 4.3060
5.2434 4.1141 4.8183
-2.4681 10.9405 10.1828
ATOMIC_POSITIONS angstrom
Nd -1.0773 11.9305 13.4291
Nd -0.7882 2.4213 5.8780
La 1.1133 10.5088 10.8742
La -4.9151 8.8188 11.9181
La -1.3496 8.3691 12.5565
La -0.5158 5.9827 6.7506
La -2.9787 3.8430 8.4329
La 3.0497 5.5330 7.3890
Dy 0.8602 6.9400 9.9917
Dy 0.0000 0.0000 0.0000
Dy -2.7257 7.4117 9.3154